DyTmCd14 | GGA-PBE | optimized geometry

a = 6.5726 Å, b = 6.5726 Å, c = 8.5075 Å
α = 90.00°, β = 90.00°, γ = 90.00°
Fractional coordinates of all 16 atoms:
Dy1 0.0000 0.0000 0.0000
Tm1 0.5000 0.5000 0.0000
Cd1 0.0000 0.0000 0.5000
Cd2 0.0000 0.5000 0.0000
Cd3 0.0000 0.5000 0.5000
Cd4 0.2510 0.2510 0.2569
Cd5 0.2510 0.2510 0.7431
Cd6 0.2510 0.7490 0.2569
Cd7 0.2510 0.7490 0.7431
Cd8 0.5000 0.0000 0.0000
Cd9 0.5000 0.0000 0.5000
Cd10 0.5000 0.5000 0.5000
Cd11 0.7490 0.2510 0.2569
Cd12 0.7490 0.2510 0.7431
Cd13 0.7490 0.7490 0.2569
Cd14 0.7490 0.7490 0.7431

## Properties
DOS(E_F)   0.337 states/eV/atom
Energy of formation from the pure elements   -2.05 eV per formula unit

DyTm3Cd6 | GGA-PBE | optimized geometry

a = 9.1040 Å, b = 5.1201 Å, c = 10.9535 Å
α = 90.00°, β = 105.58°, γ = 90.00°
Fractional coordinates of all 20 atoms:
Dy1 0.0557 0.2500 0.3924
Dy2 0.9443 0.7500 0.6076
Tm1 0.2415 0.2500 0.9983
Tm2 0.3511 0.7500 0.7963
Tm3 0.4682 0.2500 0.6056
Tm4 0.5318 0.7500 0.3944
Tm5 0.6489 0.2500 0.2037
Tm6 0.7585 0.7500 0.0017
Cd1 0.0526 0.7500 0.9018
Cd2 0.1436 0.7500 0.1964
Cd3 0.1543 0.2500 0.6949
Cd4 0.2448 0.7500 0.5008
Cd5 0.3454 0.2500 0.2931
Cd6 0.4507 0.7500 0.0966
Cd7 0.5493 0.2500 0.9034
Cd8 0.6546 0.7500 0.7069
Cd9 0.7552 0.2500 0.4992
Cd10 0.8457 0.7500 0.3051
Cd11 0.8564 0.2500 0.8036
Cd12 0.9474 0.2500 0.0982

## Properties
DOS(E_F)   0.681 states/eV/atom
Energy of formation from the pure elements   -2.76 eV per formula unit

Dy2Tm6Cd | GGA-PBE | optimized geometry

a = 10.3490 Å, b = 10.3490 Å, c = 4.9185 Å
α = 90.00°, β = 90.00°, γ = 90.00°
Fractional coordinates of all 18 atoms:
Dy1 0.1641 0.1641 0.0000
Dy2 0.3359 0.6641 0.5000
Dy3 0.6641 0.3359 0.5000
Dy4 0.8359 0.8359 0.0000
Tm1 0.9997 0.3333 0.5000
Tm2 0.0003 0.6667 0.5000
Tm3 0.1659 0.8341 0.0000
Tm4 0.1667 0.4997 0.0000
Tm5 0.3333 0.9997 0.5000
Tm6 0.3341 0.3341 0.5000
Tm7 0.4997 0.1667 0.0000
Tm8 0.5003 0.8333 0.0000
Tm9 0.6659 0.6659 0.5000
Tm10 0.6667 0.0003 0.5000
Tm11 0.8333 0.5003 0.0000
Tm12 0.8341 0.1659 0.0000
Cd1 0.0000 0.0000 0.5000
Cd2 0.5000 0.5000 0.0000

## Properties
DOS(E_F)   1.452 states/eV/atom
Energy of formation from the pure elements   -0.08 eV per formula unit

DyTmCd3 | GGA-PBE | optimized geometry

a = 11.6001 Å, b = 11.6001 Å, c = 11.6001 Å
α = 151.60°, β = 151.60°, γ = 40.60°
Fractional coordinates of all 10 atoms:
Dy1 0.0000 0.0000 0.0000
Dy2 0.7500 0.2500 0.5000
Tm1 0.4172 0.4172 0.0000
Tm2 0.5828 0.5828 0.0000
Cd1 0.0331 0.5331 0.5000
Cd2 0.3732 0.1263 0.2469
Cd3 0.4669 0.9669 0.5000
Cd4 0.8737 0.1207 0.2469
Cd5 0.8737 0.6268 0.7531
Cd6 0.8793 0.1263 0.7531

## Properties
Energy above the lowest structure with this stoichiometry   0.589 eV/atom
DOS(E_F)   1.060 states/eV/atom
Energy of formation from the pure elements   1.52 eV per formula unit

Dy4Tm4Cd | GGA-PBE | optimized geometry

a = 7.7502 Å, b = 7.7502 Å, c = 7.7502 Å
α = 95.80°, β = 95.80°, γ = 142.94°
Fractional coordinates of all 9 atoms:
Dy1 0.1650 0.1650 0.3300
Dy2 0.1650 0.8350 0.0000
Dy3 0.8350 0.1650 0.0000
Dy4 0.8350 0.8350 0.6700
Tm1 0.1666 0.5000 0.6666
Tm2 0.5000 0.1666 0.6666
Tm3 0.5000 0.8334 0.3334
Tm4 0.8334 0.5000 0.3334
Cd1 0.5000 0.5000 0.0000

## Properties
DOS(E_F)   1.481 states/eV/atom
Energy of formation from the pure elements   -0.09 eV per formula unit

Dy8TmCd2 | GGA-PBE | optimized geometry

a = 8.7195 Å, b = 8.7195 Å, c = 5.5459 Å
α = 101.13°, β = 101.13°, γ = 119.82°
Fractional coordinates of all 11 atoms:
Dy1 0.0945 0.3193 0.6138
Dy2 0.2187 0.7813 0.0000
Dy3 0.3193 0.0945 0.6138
Dy4 0.3988 0.3988 0.2013
Dy5 0.6012 0.6012 0.7987
Dy6 0.6807 0.9055 0.3862
Dy7 0.7813 0.2187 0.0000
Dy8 0.9055 0.6807 0.3862
Tm1 0.0000 0.0000 0.0000
Cd1 0.3059 0.6941 0.5000
Cd2 0.6941 0.3059 0.5000

## Properties
DOS(E_F)   1.318 states/eV/atom
Energy of formation from the pure elements   0.39 eV per formula unit

DyTmCd | GGA-PBE | optimized geometry

a = 6.9954 Å, b = 6.9954 Å, c = 6.9954 Å
α = 150.46°, β = 150.46°, γ = 42.26°
Fractional coordinates of all 3 atoms:
Dy1 0.0000 0.0000 0.0000
Tm1 0.6860 0.6860 0.0000
Cd1 0.3401 0.3401 0.0000

## Properties
Energy above the lowest structure with this stoichiometry   0.000 eV/atom
DOS(E_F)   1.218 states/eV/atom
Energy of formation from the pure elements   -0.57 eV per formula unit

DyTmCd | GGA-PBE | optimized geometry

a = 5.1079 Å, b = 5.1079 Å, c = 5.1079 Å
α = 60.00°, β = 60.00°, γ = 60.00°
Fractional coordinates of all 3 atoms:
Dy1 0.0000 0.0000 0.0000
Tm1 0.5000 0.5000 0.5000
Cd1 0.7500 0.7500 0.7500

## Properties
Energy above the lowest structure with this stoichiometry   0.286 eV/atom
DOS(E_F)   1.304 states/eV/atom
Energy of formation from the pure elements   0.29 eV per formula unit

Dy2Tm2Cd | GGA-PBE | optimized geometry

a = 12.8637 Å, b = 12.8637 Å, c = 12.8637 Å
α = 157.43°, β = 157.43°, γ = 32.13°
Fractional coordinates of all 10 atoms:
Dy1 0.0479 0.2979 0.7500
Dy2 0.2979 0.0479 0.2500
Dy3 0.7021 0.9521 0.7500
Dy4 0.9521 0.7021 0.2500
Tm1 0.1986 0.4486 0.7500
Tm2 0.4486 0.1986 0.2500
Tm3 0.5514 0.8014 0.7500
Tm4 0.8014 0.5514 0.2500
Cd1 0.1250 0.8750 0.2500
Cd2 0.8750 0.1250 0.7500

## Properties
Energy above the lowest structure with this stoichiometry   0.176 eV/atom
DOS(E_F)   2.007 states/eV/atom
Energy of formation from the pure elements   0.33 eV per formula unit

Dy2TmCd4 | GGA-PBE | optimized geometry

a = 8.7127 Å, b = 8.7127 Å, c = 8.7127 Å
α = 142.80°, β = 142.80°, γ = 53.62°
Fractional coordinates of all 7 atoms:
Dy1 0.1034 0.1034 0.0000
Dy2 0.8966 0.8966 0.0000
Tm1 0.5000 0.5000 0.0000
Cd1 0.0000 0.5000 0.5000
Cd2 0.3055 0.3055 0.0000
Cd3 0.5000 0.0000 0.5000
Cd4 0.6945 0.6945 0.0000

## Properties
Energy above the lowest structure with this stoichiometry   0.449 eV/atom
DOS(E_F)   0.987 states/eV/atom
Energy of formation from the pure elements   2.07 eV per formula unit

Dy3Tm2Cd2 | GGA-PBE | optimized geometry

a = 11.5339 Å, b = 11.5339 Å, c = 3.4494 Å
α = 90.00°, β = 90.00°, γ = 154.66°
Fractional coordinates of all 7 atoms:
Dy1 0.0000 0.0000 0.0000
Dy2 0.1484 0.8516 0.0000
Dy3 0.8516 0.1484 0.0000
Tm1 0.2896 0.7104 0.5000
Tm2 0.7104 0.2896 0.5000
Cd1 0.4310 0.5690 0.5000
Cd2 0.5690 0.4310 0.5000

## Properties
Energy above the lowest structure with this stoichiometry   0.093 eV/atom
DOS(E_F)   0.960 states/eV/atom
Energy of formation from the pure elements   -0.40 eV per formula unit

DyTm4Cd2 | GGA-PBE | optimized geometry

a = 10.5222 Å, b = 10.5222 Å, c = 10.5222 Å
α = 27.72°, β = 27.72°, γ = 27.72°
Fractional coordinates of all 7 atoms:
Dy1 0.0000 0.0000 0.0000
Tm1 0.2026 0.2026 0.2026
Tm2 0.3941 0.3941 0.3941
Tm3 0.6059 0.6059 0.6059
Tm4 0.7974 0.7974 0.7974
Cd1 0.1005 0.1005 0.1005
Cd2 0.8995 0.8995 0.8995

## Properties
DOS(E_F)   1.203 states/eV/atom
Energy of formation from the pure elements   1.57 eV per formula unit

Question: Number 10 is which compound?
Answer: Dy2TmCd4

Repeat the third record exactly.
Dy2Tm6Cd | GGA-PBE | optimized geometry

a = 10.3490 Å, b = 10.3490 Å, c = 4.9185 Å
α = 90.00°, β = 90.00°, γ = 90.00°
Fractional coordinates of all 18 atoms:
Dy1 0.1641 0.1641 0.0000
Dy2 0.3359 0.6641 0.5000
Dy3 0.6641 0.3359 0.5000
Dy4 0.8359 0.8359 0.0000
Tm1 0.9997 0.3333 0.5000
Tm2 0.0003 0.6667 0.5000
Tm3 0.1659 0.8341 0.0000
Tm4 0.1667 0.4997 0.0000
Tm5 0.3333 0.9997 0.5000
Tm6 0.3341 0.3341 0.5000
Tm7 0.4997 0.1667 0.0000
Tm8 0.5003 0.8333 0.0000
Tm9 0.6659 0.6659 0.5000
Tm10 0.6667 0.0003 0.5000
Tm11 0.8333 0.5003 0.0000
Tm12 0.8341 0.1659 0.0000
Cd1 0.0000 0.0000 0.5000
Cd2 0.5000 0.5000 0.0000

## Properties
DOS(E_F)   1.452 states/eV/atom
Energy of formation from the pure elements   -0.08 eV per formula unit

Question: energy of formation from the pure elements of number 11 (Dy3Tm2Cd2)?
Answer: -0.40 eV per formula unit

Question: Which formula does entry 11 have?
Answer: Dy3Tm2Cd2